Record 1
{
  "formula": "ZrTl2Br",
  "functional": "PBE-GGA",
  "state": "relaxed",
  "cell": [[3.3367, 0.0000, 0.0000], [0.0000, 5.4254, 0.0000], [0.0000, 0.0000, 5.7039]],
  "species": ["Br", "Tl", "Zr", "Tl"],
  "frac_coords": [[0.0000, 0.5000, 0.5000], [0.0000, 0.0000, 0.0000], [0.5000, 0.0000, 0.5000], [0.5000, 0.5000, 0.0000]],
  "n_ef_per_ev_cell": 3.03,
  "formation_energy_uncorrected_ev_per_atom": -0.001,
  "crystal_system": "orthorhombic",
  "e_tot_ev_per_atom": -3.74
}

***

Record 2
{
  "formula": "Rb2PdNF6",
  "functional": "PBE-GGA",
  "state": "relaxed",
  "cell": [[5.7526, 0.0000, 0.0000], [0.0000, 5.7526, 0.0000], [2.8763, 2.8763, 4.8513]],
  "species": ["F", "F", "F", "F", "Rb", "F", "F", "Rb", "N", "Pd"],
  "frac_coords": [[0.7332, 0.2668, 0.0000], [0.7332, 0.7332, 0.0000], [0.2668, 0.7332, 0.0000], [0.2052, 0.2052, 0.5897], [0.2500, 0.7500, 0.5000], [0.7948, 0.7948, 0.4103], [0.2668, 0.2668, 0.0000], [0.7500, 0.2500, 0.5000], [0.5000, 0.5000, 0.0000], [0.0000, 0.0000, 0.0000]],
  "n_ef_per_ev_cell": 1.88,
  "formation_energy_uncorrected_ev_per_atom": -1.293,
  "crystal_system": "tetragonal",
  "e_tot_ev_per_atom": -3.96
}

***

Record 3
{
  "formula": "Na6SiGe2",
  "functional": "PBE-GGA",
  "state": "relaxed",
  "cell": [[5.0541, 0.0000, 1.3875], [2.3366, 4.4815, 1.3875], [-0.0637, -0.0386, 10.1307]],
  "species": ["Na", "Ge", "Na", "Si", "Na", "Na", "Na", "Ge", "Na"],
  "frac_coords": [[0.5763, 0.5763, 0.2712], [0.0828, 0.0828, 0.7517], [0.1896, 0.1896, 0.4311], [0.0000, 0.0000, 0.0000], [0.3005, 0.3005, 0.0985], [0.4237, 0.4237, 0.7288], [0.6995, 0.6995, 0.9015], [0.9172, 0.9172, 0.2483], [0.8104, 0.8104, 0.5689]],
  "n_ef_per_ev_cell": 1.42,
  "formation_energy_uncorrected_ev_per_atom": -0.036,
  "crystal_system": "trigonal",
  "e_tot_ev_per_atom": -2.54
}